Below is a geometry-optimized CaY2TlCl structure, with properties calculated at the PBE-GGA level.

Electronic total energy, eV/atom: -3.59
Crystal system: tetragonal
Energy relative to the elements, uncorrected, eV/atom: 0.234

Unit cell a=5.8470 b=5.8470 c=5.9850 alpha=90.00 beta=90.00 gamma=90.00
Space group P4/mmm (No. 123)
Asymmetric unit:
1 Ca 0.0000 0.0000 0.0000
2 Y 0.0000 0.5000 0.5000
3 Tl 0.5000 0.5000 0.5000
4 Cl 0.5000 0.5000 0.0000